Entry 1:
First-principles (GGA-PBE) data for a relaxed CsAlTe2 crystal, as listed in Alexandria.

The value obtained for the formation energy without anion corrections is -3.16 eV/f.u. The density of states at the Fermi level is 0.00 states/eV/cell.

The structure belongs to space group I-42d (No. 122); the cell edges are 8.2998, 8.2998 and 9.5561 Å and the angles 90.00°, 90.00° and 90.00°. Symmetry generates all atoms from Cs at (0.0000, 0.0000, 0.0000), Al at (0.0000, 0.0000, 0.5000) and Te at (0.1396, 0.2500, 0.6250).



Entry 2:
First-principles (GGA-PBE) data for a relaxed Cs3AlTe3 crystal, as listed in Alexandria.

The value obtained for the formation energy without anion corrections is -6.89 eV/f.u. The density of states at the Fermi level is 0.00 states/eV/cell. Its energy above the most stable polymorph in this dataset is 0 kJ/mol of formula units.

The structure belongs to space group P2_1/c (No. 14); the cell edges are 9.3200, 14.7706 and 12.4074 Å and the angles 90.00°, 127.77° and 90.00°. Symmetry generates all atoms from Cs at (0.1217, 0.1288, 0.4733), Cs at (0.1525, 0.0708, 0.8926), Cs at (0.3768, 0.7008, 0.6086), Al at (0.4322, 0.0541, 0.3418), Te at (0.1493, 0.1618, 0.1868), Te at (0.3557, 0.6084, 0.8926) and Te at (0.3848, 0.5458, 0.2551).



Entry 3:
First-principles (GGA-PBE) data for a relaxed CsAlTe2 crystal, as listed in Alexandria.

The value obtained for the formation energy without anion corrections is -2.17 eV/f.u. The density of states at the Fermi level is 0.00 states/eV/cell.

The structure belongs to space group P3m1 (No. 156); the cell edges are 4.2385, 4.2385 and 9.4677 Å and the angles 90.00°, 90.00° and 120.00°. Symmetry generates all atoms from Cs at (0.0000, 0.0000, 0.0000), Al at (0.6667, 0.3333, 0.5444), Te at (0.0000, 0.0000, 0.3915) and Te at (0.3333, 0.6667, 0.7107).



Entry 4:
First-principles (GGA-PBE) data for a relaxed CsAlTe crystal, as listed in Alexandria.

The value obtained for the formation energy without anion corrections is -1.16 eV/f.u. Its energy above the most stable polymorph in this dataset is 41 kJ/mol of formula units.

The structure belongs to space group R3m (No. 160, hexagonal axes); the cell edges are 4.4411, 4.4411 and 21.3391 Å and the angles 90.00°, 90.00° and 120.00°. Symmetry generates all atoms from Cs at (0.0000, 0.0000, 0.0000), Al at (0.0000, 0.0000, 0.4688) and Te at (0.0000, 0.0000, 0.1998).



Copy entry 4 word for word.
First-principles (GGA-PBE) data for a relaxed CsAlTe crystal, as listed in Alexandria.

The value obtained for the formation energy without anion corrections is -1.16 eV/f.u. Its energy above the most stable polymorph in this dataset is 41 kJ/mol of formula units.

The structure belongs to space group R3m (No. 160, hexagonal axes); the cell edges are 4.4411, 4.4411 and 21.3391 Å and the angles 90.00°, 90.00° and 120.00°. Symmetry generates all atoms from Cs at (0.0000, 0.0000, 0.0000), Al at (0.0000, 0.0000, 0.4688) and Te at (0.0000, 0.0000, 0.1998).